(1)
# HfCoReAs | OQMD via LeMat-Bulk | PBE-GGA | relaxed
data_HfCoReAs
_space_group_name_H-M_alt 'F -4 3 m'
_space_group_IT_number 216
_space_group_name_Hall 'F -4 2 3'
_cell_length_a 6.336
_cell_length_b 6.336
_cell_length_c 6.336
_cell_angle_alpha 90.00
_cell_angle_beta 90.00
_cell_angle_gamma 90.00
loop_
_atom_site_label
_atom_site_type_symbol
_atom_site_fract_x
_atom_site_fract_y
_atom_site_fract_z
_atom_site_occupancy
Hf1 Hf 0.000 0.000 0.000 1
Co1 Co 0.000 0.000 0.500 1
Re1 Re 0.250 0.250 0.750 1
As1 As 0.250 0.250 0.250 1
# **Energy above the most stable polymorph in this dataset**: 328 meV per atom
# **Total DFT energy (no corrections)**: -8.19 eV per atom
# **Calculated density**: 13.02 g/cm3
# **Crystal system**: cubic
# **Total moment**: 2.78 μB/f.u.



(2)
# HfCoReAs | OQMD via LeMat-Bulk | PBE-GGA | relaxed
data_HfCoReAs
_space_group_name_H-M_alt 'F -4 3 m'
_space_group_IT_number 216
_space_group_name_Hall 'F -4 2 3'
_cell_length_a 6.236
_cell_length_b 6.236
_cell_length_c 6.236
_cell_angle_alpha 90.00
_cell_angle_beta 90.00
_cell_angle_gamma 90.00
loop_
_atom_site_label
_atom_site_type_symbol
_atom_site_fract_x
_atom_site_fract_y
_atom_site_fract_z
_atom_site_occupancy
Hf1 Hf 0.000 0.000 0.000 1
Co1 Co 0.250 0.250 0.750 1
Re1 Re 0.250 0.250 0.250 1
As1 As 0.000 0.000 0.500 1
# **Energy above the most stable polymorph in this dataset**: 0 meV per atom
# **Total DFT energy (no corrections)**: -8.52 eV per atom
# **Calculated density**: 13.65 g/cm3
# **Crystal system**: cubic
# **Total moment**: 0.88 μB/f.u.